(1)
RbPrCl2 | PBE | optimized geometry

Lattice parameters (Å, degrees): 10.5739 10.5739 10.5739 21.25 21.25 21.25
Closest atoms and distances in Å follow each position.
Sites, in units of the cell vectors:
Rb  0.0000  0.0000  0.0000  2 Cl 3.21
Pr  0.5000  0.5000  0.5000  6 Cl 2.98
Cl  0.1035  0.1035  0.1035  3 Pr 2.98, 1 Rb 3.21
Cl  0.8965  0.8965  0.8965  3 Pr 2.98, 1 Rb 3.21

Summary:
- N(E_F): 2.362 states/eV per cell
- SG: R-3m
- Uncorrected energy: -0.279 Ry per atom
- Magnetization: 0.000 μB/f.u.

(2)
LiMnSi2 | PBE | optimized geometry

Lattice parameters (Å, degrees): 3.9744 3.9744 2.9011 90.00 90.00 90.00
Closest atoms and distances in Å follow each position.
Sites, in units of the cell vectors:
Li  0.0000  0.0000  0.0000  8 Si 2.46
Mn  0.5000  0.5000  0.0000  8 Si 2.46
Si  0.0000  0.5000  0.5000  4 Mn 2.46, 4 Li 2.46
Si  0.5000  0.0000  0.5000  4 Mn 2.46, 4 Li 2.46

Summary:
- N(E_F): 2.804 states/eV per cell
- SG: P4/mmm
- Relative energy among the computed polymorphs: 0.61 eV/f.u.
- Uncorrected energy: -0.406 Ry per atom
- Magnetization: 0.000 μB/f.u.